Record 1
Compound: Nb2InBI
Source: Alexandria
Functional: PBE-GGA
Structure: optimized geometry Values from VASP.

Quantum ESPRESSO input file:
```
&SYSTEM
  ibrav = 0, nat = 5, ntyp = 4
/
ATOMIC_SPECIES
Nb 92.91 Nb.upf
I 126.90 I.upf
In 114.82 In.upf
B 10.81 B.upf
CELL_PARAMETERS angstrom
-4.020 -2.266 -2.283
-0.911 -2.129 3.717
-3.033 3.887 1.483
ATOMIC_POSITIONS crystal
Nb 0.500 0.000 0.000
Nb 0.000 0.000 0.500
I 0.000 0.000 0.000
In 0.500 0.500 0.500
B 0.000 0.500 0.000
```

Magnetic moment (μB per formula unit): 1.087
Symmetry: No. 123
Formation energy without anion corrections (eV/atom): 1.862
Calculated total energy (eV/atom): -4.360

---

Record 2
Compound: In2BPI
Source: Alexandria
Functional: PBE-GGA
Structure: optimized geometry Values from VASP.

Quantum ESPRESSO input file:
```
&SYSTEM
  ibrav = 0, nat = 5, ntyp = 4
/
ATOMIC_SPECIES
In 114.82 In.upf
P 30.97 P.upf
B 10.81 B.upf
I 126.90 I.upf
CELL_PARAMETERS angstrom
5.231 0.000 0.000
0.000 5.719 0.000
0.000 0.000 5.231
ATOMIC_POSITIONS crystal
In 0.000 0.000 0.500
In 0.500 0.000 0.000
P 0.000 0.000 0.000
B 0.500 0.500 0.500
I 0.000 0.500 0.000
```

Magnetic moment (μB per formula unit): 0.001
Symmetry: No. 123
Formation energy without anion corrections (eV/atom): 1.210
Calculated total energy (eV/atom): -2.613

---

Record 3
Compound: Rb2InBI6
Source: Alexandria
Functional: PBE-GGA
Structure: optimized geometry Values from VASP.

Quantum ESPRESSO input file:
```
&SYSTEM
  ibrav = 0, nat = 10, ntyp = 4
/
ATOMIC_SPECIES
I 126.90 I.upf
B 10.81 B.upf
Rb 85.47 Rb.upf
In 114.82 In.upf
CELL_PARAMETERS angstrom
8.133 0.000 0.000
0.000 8.133 0.000
4.066 4.066 5.827
ATOMIC_POSITIONS crystal
I 0.738 0.738 0.000
I 0.738 0.262 0.000
I 0.740 0.740 0.520
I 0.260 0.260 0.480
I 0.262 0.738 0.000
I 0.262 0.262 0.000
B 0.500 0.500 0.000
Rb 0.250 0.750 0.500
Rb 0.750 0.250 0.500
In 0.000 0.000 0.000
```

Magnetic moment (μB per formula unit): 0.000
Symmetry: No. 139
Formation energy without anion corrections (eV/atom): -0.446
Calculated total energy (eV/atom): -2.512

---

Record 4
Compound: In2ReBI
Source: Alexandria
Functional: PBE-GGA
Structure: optimized geometry Values from VASP.

Quantum ESPRESSO input file:
```
&SYSTEM
  ibrav = 0, nat = 5, ntyp = 4
/
ATOMIC_SPECIES
In 114.82 In.upf
Re 186.21 Re.upf
I 126.90 I.upf
B 10.81 B.upf
CELL_PARAMETERS angstrom
5.300 0.000 0.000
0.000 4.143 0.000
0.000 0.000 5.300
ATOMIC_POSITIONS crystal
In 0.500 0.000 0.000
In 0.000 0.000 0.500
Re 0.000 0.500 0.000
I 0.500 0.500 0.500
B 0.000 0.000 0.000
```

Magnetic moment (μB per formula unit): 2.230
Symmetry: No. 123
Formation energy without anion corrections (eV/atom): 0.924
Calculated total energy (eV/atom): -4.306

---

Record 5
Compound: InBSe2I
Source: Alexandria
Functional: PBE-GGA
Structure: optimized geometry Values from VASP.

Quantum ESPRESSO input file:
```
&SYSTEM
  ibrav = 0, nat = 5, ntyp = 4
/
ATOMIC_SPECIES
B 10.81 B.upf
Se 78.96 Se.upf
I 126.90 I.upf
In 114.82 In.upf
CELL_PARAMETERS angstrom
5.225 0.000 0.000
0.000 6.082 0.000
0.000 0.000 5.225
ATOMIC_POSITIONS crystal
B 0.500 0.500 0.500
Se 0.500 0.000 0.000
Se 0.000 0.000 0.500
I 0.000 0.500 0.000
In 0.000 0.000 0.000
```

Magnetic moment (μB per formula unit): 0.249
Symmetry: No. 123
Formation energy without anion corrections (eV/atom): 1.122
Calculated total energy (eV/atom): -2.465
Distance to the lowest polymorph of the same formula (meV/atom): 674

---

Record 6
Compound: InBSe2I
Source: Alexandria
Functional: PBE-GGA
Structure: optimized geometry Values from VASP.

Quantum ESPRESSO input file:
```
&SYSTEM
  ibrav = 0, nat = 5, ntyp = 4
/
ATOMIC_SPECIES
In 114.82 In.upf
Se 78.96 Se.upf
I 126.90 I.upf
B 10.81 B.upf
CELL_PARAMETERS angstrom
4.430 0.000 0.000
0.000 6.458 0.000
0.000 0.000 4.430
ATOMIC_POSITIONS crystal
In 0.000 0.500 0.000
Se 0.000 0.000 0.500
Se 0.500 0.000 0.000
I 0.500 0.500 0.500
B 0.000 0.000 0.000
```

Magnetic moment (μB per formula unit): 0.000
Symmetry: No. 123
Formation energy without anion corrections (eV/atom): 0.448
Calculated total energy (eV/atom): -3.139
Distance to the lowest polymorph of the same formula (meV/atom): 0

---

Record 7
Compound: InBSe2I
Source: Alexandria
Functional: PBE-GGA
Structure: optimized geometry Values from VASP.

Quantum ESPRESSO input file:
```
&SYSTEM
  ibrav = 0, nat = 5, ntyp = 4
/
ATOMIC_SPECIES
I 126.90 I.upf
B 10.81 B.upf
In 114.82 In.upf
Se 78.96 Se.upf
CELL_PARAMETERS angstrom
-5.493 1.186 -0.455
-0.575 -0.927 4.532
1.062 5.397 1.239
ATOMIC_POSITIONS crystal
I 0.000 0.000 0.000
B 0.000 0.500 0.000
In 0.500 0.500 0.500
Se 0.500 0.000 0.000
Se 0.000 0.000 0.500
```

Magnetic moment (μB per formula unit): 0.000
Symmetry: No. 123
Formation energy without anion corrections (eV/atom): 1.137
Calculated total energy (eV/atom): -2.450
Distance to the lowest polymorph of the same formula (meV/atom): 688

---

Record 8
Compound: InBTeI2
Source: Alexandria
Functional: PBE-GGA
Structure: optimized geometry Values from VASP.

Quantum ESPRESSO input file:
```
&SYSTEM
  ibrav = 0, nat = 5, ntyp = 4
/
ATOMIC_SPECIES
B 10.81 B.upf
I 126.90 I.upf
In 114.82 In.upf
Te 127.60 Te.upf
CELL_PARAMETERS angstrom
5.354 0.000 0.000
0.000 5.354 0.000
0.000 0.000 5.059
ATOMIC_POSITIONS crystal
B 0.000 0.000 0.000
I 0.000 0.500 0.000
I 0.500 0.000 0.000
In 0.500 0.500 0.500
Te 0.000 0.000 0.500
```

Magnetic moment (μB per formula unit): 0.000
Symmetry: No. 123
Formation energy without anion corrections (eV/atom): 0.507
Calculated total energy (eV/atom): -2.625
Distance to the lowest polymorph of the same formula (meV/atom): 0

---

Record 9
Compound: InBTe2I
Source: Alexandria
Functional: PBE-GGA
Structure: optimized geometry Values from VASP.

Quantum ESPRESSO input file:
```
&SYSTEM
  ibrav = 0, nat = 5, ntyp = 4
/
ATOMIC_SPECIES
B 10.81 B.upf
Te 127.60 Te.upf
In 114.82 In.upf
I 126.90 I.upf
CELL_PARAMETERS angstrom
5.016 0.000 0.000
0.000 5.016 0.000
0.000 0.000 5.215
ATOMIC_POSITIONS crystal
B 0.000 0.000 0.000
Te 0.000 0.500 0.000
Te 0.500 0.000 0.000
In 0.500 0.500 0.500
I 0.000 0.000 0.500
```

Magnetic moment (μB per formula unit): 0.000
Symmetry: No. 123
Formation energy without anion corrections (eV/atom): 0.517
Calculated total energy (eV/atom): -2.933
Distance to the lowest polymorph of the same formula (meV/atom): 0

---

Record 10
Compound: InBTe2I
Source: Alexandria
Functional: PBE-GGA
Structure: optimized geometry Values from VASP.

Quantum ESPRESSO input file:
```
&SYSTEM
  ibrav = 0, nat = 5, ntyp = 4
/
ATOMIC_SPECIES
Te 127.60 Te.upf
In 114.82 In.upf
I 126.90 I.upf
B 10.81 B.upf
CELL_PARAMETERS angstrom
5.710 0.000 0.000
0.000 5.710 0.000
0.000 0.000 5.907
ATOMIC_POSITIONS crystal
Te 0.000 0.500 0.000
Te 0.500 0.000 0.000
In 0.000 0.000 0.000
I 0.000 0.000 0.500
B 0.500 0.500 0.500
```

Magnetic moment (μB per formula unit): 0.000
Symmetry: No. 123
Formation energy without anion corrections (eV/atom): 1.211
Calculated total energy (eV/atom): -2.239
Distance to the lowest polymorph of the same formula (meV/atom): 694

---

Record 11
Compound: InBTeI2
Source: Alexandria
Functional: PBE-GGA
Structure: optimized geometry Values from VASP.

Quantum ESPRESSO input file:
```
&SYSTEM
  ibrav = 0, nat = 5, ntyp = 4
/
ATOMIC_SPECIES
B 10.81 B.upf
I 126.90 I.upf
In 114.82 In.upf
Te 127.60 Te.upf
CELL_PARAMETERS angstrom
-5.811 0.212 -1.026
0.818 -2.692 -5.191
-0.646 -5.184 2.587
ATOMIC_POSITIONS crystal
B 0.500 0.500 0.500
I 0.000 0.500 0.000
I 0.500 0.000 0.000
In 0.000 0.000 0.000
Te 0.000 0.000 0.500
```

Magnetic moment (μB per formula unit): 0.001
Symmetry: No. 123
Formation energy without anion corrections (eV/atom): 1.036
Calculated total energy (eV/atom): -2.096
Distance to the lowest polymorph of the same formula (meV/atom): 529

---

Record 12
Compound: BIrI2
Source: Alexandria
Functional: PBE-GGA
Structure: optimized geometry Values from VASP.

Quantum ESPRESSO input file:
```
&SYSTEM
  ibrav = 0, nat = 8, ntyp = 3
/
ATOMIC_SPECIES
I 126.90 I.upf
Ir 192.22 Ir.upf
B 10.81 B.upf
CELL_PARAMETERS angstrom
5.733 0.000 0.000
0.000 5.733 0.000
2.867 2.867 5.994
ATOMIC_POSITIONS crystal
I 0.144 0.625 0.250
I 0.875 0.856 0.750
I 0.375 0.394 0.750
I 0.606 0.125 0.250
Ir 0.000 0.000 0.000
Ir 0.750 0.250 0.500
B 0.500 0.500 0.000
B 0.250 0.750 0.500
```

Magnetic moment (μB per formula unit): 0.000
Symmetry: No. 122
Formation energy without anion corrections (eV/atom): 1.309
Calculated total energy (eV/atom): -3.350
Distance to the lowest polymorph of the same formula (meV/atom): 0